(1)
VASP calculation (GGA-PBE) on a relaxed structure of CeMgSc.

CIF file:
```
data_CeMgSc
_cell_length_a 5.152
_cell_length_b 5.155
_cell_length_c 6.636
_cell_angle_alpha 89.57
_cell_angle_beta 89.26
_cell_angle_gamma 60.04
_symmetry_space_group_name_H-M 'P -1'
_symmetry_Int_Tables_number 2
loop_
_symmetry_equiv_pos_as_xyz
'x,y,z'
'-x,-y,-z'
loop_
_atom_site_label
_atom_site_fract_x
_atom_site_fract_y
_atom_site_fract_z
_atom_site_occupancy
Ce1 0.166 0.167 0.000 1
Mg1 0.167 0.166 0.500 1
Sc1 0.498 0.500 0.239 1
```

Calculated values
Size of the total moment in μB per formula unit: 0.71
Energy above the lowest structure with this stoichiometry in meV/atom: 88
Energy of formation in meV/atom: 93



(2)
VASP calculation (GGA-PBE) on a relaxed structure of Cs3Pu2US6.

CIF file:
```
data_Cs3Pu2US6
_cell_length_a 7.196
_cell_length_b 12.462
_cell_length_c 8.399
_cell_angle_alpha 90.00
_cell_angle_beta 106.59
_cell_angle_gamma 90.00
_symmetry_space_group_name_H-M 'C 1 2/m 1'
_symmetry_Int_Tables_number 12
loop_
_symmetry_equiv_pos_as_xyz
'x,y,z'
'-x,-y,-z'
'-x,y,-z'
'x,-y,z'
'x+1/2,y+1/2,z'
'-x+1/2,-y+1/2,-z'
'-x+1/2,y+1/2,-z'
'x+1/2,-y+1/2,z'
loop_
_atom_site_label
_atom_site_fract_x
_atom_site_fract_y
_atom_site_fract_z
_atom_site_occupancy
Cs1 0.000 0.000 0.000 1
Cs2 0.000 0.331 0.000 1
Pu1 0.000 0.167 0.500 1
U1 0.000 0.500 0.500 1
S1 0.222 0.337 0.680 1
S2 0.235 0.000 0.680 1
```

Calculated values
Size of the total moment in μB per formula unit: 13.00
Raw formation energy in meV per atom: -1500



(3)
VASP calculation (GGA-PBE) on a relaxed structure of LiSiIr2.

CIF file:
```
data_LiSiIr2
_cell_length_a 3.017
_cell_length_b 3.017
_cell_length_c 5.629
_cell_angle_alpha 90.00
_cell_angle_beta 90.00
_cell_angle_gamma 90.00
_symmetry_space_group_name_H-M 'P 4 m m'
_symmetry_Int_Tables_number 99
loop_
_symmetry_equiv_pos_as_xyz
'x,y,z'
'-y,x,z'
'-x,-y,z'
'y,-x,z'
'-x,y,z'
'y,x,z'
'x,-y,z'
'-y,-x,z'
loop_
_atom_site_label
_atom_site_fract_x
_atom_site_fract_y
_atom_site_fract_z
_atom_site_occupancy
Li1 0.000 0.000 0.000 1
Si1 0.500 0.500 0.228 1
Ir1 0.000 0.000 0.456 1
Ir2 0.500 0.500 0.799 1
```

Calculated values
Size of the total moment in μB per formula unit: 0.00
Raw formation energy in meV per atom: -253



(4)
VASP calculation (GGA-PBE) on a relaxed structure of YIn3.

CIF file:
```
data_YIn3
_cell_length_a 3.261
_cell_length_b 5.295
_cell_length_c 6.053
_cell_angle_alpha 90.00
_cell_angle_beta 90.00
_cell_angle_gamma 90.00
_symmetry_space_group_name_H-M 'P m m m'
_symmetry_Int_Tables_number 47
loop_
_symmetry_equiv_pos_as_xyz
'x,y,z'
'-x,-y,-z'
'-x,-y,z'
'x,y,-z'
'x,-y,-z'
'-x,y,z'
'-x,y,-z'
'x,-y,z'
loop_
_atom_site_label
_atom_site_fract_x
_atom_site_fract_y
_atom_site_fract_z
_atom_site_occupancy
Y1 0.000 0.000 0.000 1
In1 0.500 0.000 0.500 1
In2 0.500 0.500 0.242 1
```

Calculated values
Size of the total moment in μB per formula unit: 0.00
Energy of formation in meV/atom: -265



> Which of these has the highest size of the total moment?

Cs3Pu2US6